Record 1
{
  "formula": "PaPS",
  "functional": "PBE-GGA",
  "state": "optimized geometry",
  "lattice": [[-0.197, 3.835, 0.211], [-3.386, -0.073, -1.823], [-1.903, -2.449, 7.692]],
  "species": ["Pa", "Pa", "P", "P", "S", "S"],
  "frac_coords": [[0.369, 0.369, 0.737], [0.631, 0.631, 0.263], [0.000, 0.500, 0.000], [0.500, 0.000, 0.000], [0.184, 0.184, 0.367], [0.816, 0.816, 0.633]],
  "volume_a3_per_fu": 57.9,
  "e_above_lowest_polymorph_ev_per_atom": 0.000,
  "formation_energy_uncorrected_ev_per_atom": -1.37,
  "mass_density_g_cm3": 8.43
}

***

Record 2
{
  "formula": "Pa4PS3",
  "functional": "PBE-GGA",
  "state": "optimized geometry",
  "lattice": [[-1.109, 3.695, 1.251], [-0.178, -2.195, 6.331], [5.929, 0.754, 3.036]],
  "species": ["P", "S", "S", "S", "Pa", "Pa", "Pa", "Pa"],
  "frac_coords": [[0.500, 0.500, 0.000], [0.500, 0.000, 0.500], [0.000, 0.000, 0.000], [0.000, 0.500, 0.500], [0.000, 0.752, 0.748], [0.500, 0.751, 0.251], [0.000, 0.248, 0.252], [0.500, 0.249, 0.749]],
  "volume_a3_per_fu": 169.5,
  "formation_energy_uncorrected_ev_per_atom": -1.54,
  "mass_density_g_cm3": 10.30
}

***

Record 3
{
  "formula": "Pa2PS",
  "functional": "PBE-GGA",
  "state": "optimized geometry",
  "lattice": [[3.727, 0.000, 0.000], [1.863, 3.228, 0.000], [1.863, 1.076, 7.235]],
  "species": ["Pa", "Pa", "P", "S"],
  "frac_coords": [[0.080, 0.080, 0.761], [0.254, 0.254, 0.238], [0.667, 0.667, 0.998], [0.499, 0.499, 0.502]],
  "volume_a3_per_fu": 87.0,
  "e_above_lowest_polymorph_ev_per_atom": 0.165,
  "formation_energy_uncorrected_ev_per_atom": -1.32,
  "mass_density_g_cm3": 10.02
}

***

Record 4
{
  "formula": "Pa4P2S5",
  "functional": "PBE-GGA",
  "state": "optimized geometry",
  "lattice": [[-0.045, -3.901, -1.108], [6.596, -0.076, 0.003], [-3.325, -1.777, 13.805]],
  "species": ["Pa", "Pa", "Pa", "Pa", "P", "P", "S", "S", "S", "S", "S"],
  "frac_coords": [[0.726, 0.726, 0.453], [0.000, 0.284, 0.000], [0.274, 0.274, 0.547], [0.000, 0.716, 0.000], [0.931, 0.931, 0.862], [0.069, 0.069, 0.138], [0.197, 0.447, 0.395], [0.803, 0.553, 0.605], [0.197, 0.948, 0.395], [0.500, 0.000, 0.000], [0.803, 0.052, 0.605]],
  "volume_a3_per_fu": 368.6,
  "formation_energy_uncorrected_ev_per_atom": -0.62,
  "mass_density_g_cm3": 5.16
}

***

Record 5
{
  "formula": "PaP2S6",
  "functional": "PBE-GGA",
  "state": "optimized geometry",
  "lattice": [[-5.427, -2.710, -2.345], [-0.897, -6.424, 0.480], [-5.367, -2.107, 5.837]],
  "species": ["Pa", "P", "P", "S", "S", "S", "S", "S", "S"],
  "frac_coords": [[0.333, 0.333, 0.000], [0.718, 0.718, 0.847], [0.615, 0.615, 0.154], [0.713, 0.458, 0.768], [0.061, 0.713, 0.768], [0.458, 0.061, 0.768], [0.304, 0.556, 0.233], [0.907, 0.304, 0.233], [0.556, 0.907, 0.233]],
  "volume_a3_per_fu": 267.2,
  "formation_energy_uncorrected_ev_per_atom": -0.63,
  "mass_density_g_cm3": 3.02
}

***

Record 6
{
  "formula": "Pa6P5S",
  "functional": "PBE-GGA",
  "state": "optimized geometry",
  "lattice": [[6.773, 0.163, 1.028], [1.660, 5.756, 3.355], [0.112, 0.070, 6.852]],
  "species": ["P", "P", "P", "P", "P", "S", "Pa", "Pa", "Pa", "Pa", "Pa", "Pa"],
  "frac_coords": [[0.500, 0.167, 0.665], [0.000, 0.333, 0.333], [0.500, 0.500, 0.000], [0.000, 0.667, 0.667], [0.500, 0.833, 0.335], [0.000, 0.000, 0.000], [0.750, 0.083, 0.333], [0.250, 0.583, 0.333], [0.250, 0.250, 0.000], [0.750, 0.750, 0.000], [0.750, 0.417, 0.667], [0.250, 0.917, 0.667]],
  "volume_a3_per_fu": 263.2,
  "formation_energy_uncorrected_ev_per_atom": -1.38,
  "mass_density_g_cm3": 9.92
}

***

Record 7
{
  "formula": "Pa2P2S",
  "functional": "PBE-GGA",
  "state": "optimized geometry",
  "lattice": [[-3.187, 2.106, -1.044], [-1.600, -4.018, -3.219], [-0.801, -1.545, 6.841]],
  "species": ["Pa", "Pa", "P", "P", "S"],
  "frac_coords": [[0.344, 0.844, 0.688], [0.656, 0.156, 0.312], [0.690, 0.690, 0.380], [0.310, 0.310, 0.620], [0.000, 0.000, 0.000]],
  "volume_a3_per_fu": 132.7,
  "formation_energy_uncorrected_ev_per_atom": -1.09,
  "mass_density_g_cm3": 6.96
}

***

Record 8
{
  "formula": "Pa5P4S",
  "functional": "PBE-GGA",
  "state": "optimized geometry",
  "lattice": [[-3.059, -4.001, 2.440], [3.695, -5.146, 2.611], [-1.152, 1.038, 6.674]],
  "species": ["Pa", "Pa", "Pa", "Pa", "Pa", "P", "P", "P", "P", "S"],
  "frac_coords": [[0.901, 0.400, 0.800], [0.301, 0.800, 0.600], [0.701, 0.200, 0.400], [0.101, 0.600, 0.200], [0.501, 0.000, 0.000], [0.402, 0.400, 0.799], [0.801, 0.799, 0.600], [0.201, 0.201, 0.400], [0.600, 0.600, 0.201], [0.001, 0.000, 0.000]],
  "volume_a3_per_fu": 218.9,
  "formation_energy_uncorrected_ev_per_atom": -1.39,
  "mass_density_g_cm3": 9.94
}

***

Record 9
{
  "formula": "Pa3PS5",
  "functional": "PBE-GGA",
  "state": "optimized geometry",
  "lattice": [[-5.776, -1.325, -4.690], [-1.251, -7.454, -0.026], [-7.983, -1.717, 5.489]],
  "species": ["Pa", "Pa", "Pa", "Pa", "Pa", "Pa", "P", "P", "S", "S", "S", "S", "S", "S", "S", "S", "S", "S"],
  "frac_coords": [[0.666, 0.666, 0.832], [0.669, 0.669, 0.334], [0.000, 0.000, 0.000], [0.000, 0.000, 0.500], [0.334, 0.334, 0.168], [0.331, 0.331, 0.666], [0.101, 0.101, 0.705], [0.899, 0.899, 0.295], [0.971, 0.362, 0.332], [0.306, 0.694, 0.000], [0.768, 0.768, 0.037], [0.437, 0.437, 0.369], [0.563, 0.563, 0.631], [0.232, 0.232, 0.963], [0.362, 0.971, 0.332], [0.694, 0.306, 0.000], [0.029, 0.638, 0.668], [0.638, 0.029, 0.668]],
  "volume_a3_per_fu": 248.1,
  "formation_energy_uncorrected_ev_per_atom": -1.34,
  "mass_density_g_cm3": 5.92
}

***

Record 10
{
  "formula": "PaPS",
  "functional": "PBE-GGA",
  "state": "optimized geometry",
  "lattice": [[6.313, 0.000, 0.000], [0.000, 4.124, 0.000], [0.000, -2.062, 3.571]],
  "species": ["P", "S", "Pa"],
  "frac_coords": [[0.130, 0.000, 0.000], [0.539, 0.333, 0.667], [0.331, 0.667, 0.333]],
  "volume_a3_per_fu": 93.0,
  "e_above_lowest_polymorph_ev_per_atom": 0.301,
  "formation_energy_uncorrected_ev_per_atom": -1.07,
  "mass_density_g_cm3": 5.25
}

***

Record 11
{
  "formula": "Pa4PSeS2",
  "functional": "PBE-GGA",
  "state": "optimized geometry",
  "lattice": [[4.003, 0.000, 0.000], [0.000, 6.613, -0.020], [0.000, 2.440, 6.607]],
  "species": ["Pa", "Pa", "Pa", "Pa", "P", "Se", "S", "S"],
  "frac_coords": [[0.000, 0.760, 0.755], [0.000, 0.240, 0.245], [0.500, 0.767, 0.236], [0.500, 0.233, 0.764], [0.500, 0.500, 0.000], [0.000, 0.500, 0.500], [0.000, 0.000, 0.000], [0.500, 0.000, 0.500]],
  "volume_a3_per_fu": 175.1,
  "formation_energy_uncorrected_ev_per_atom": -1.45,
  "mass_density_g_cm3": 10.41
}

***

Record 12
{
  "formula": "Pa4P2SeS",
  "functional": "PBE-GGA",
  "state": "optimized geometry",
  "lattice": [[-0.363, 3.795, -1.178], [-1.441, -2.067, -6.218], [-6.969, -0.868, -0.651]],
  "species": ["Pa", "Pa", "Pa", "Pa", "P", "P", "Se", "S"],
  "frac_coords": [[0.000, 0.755, 0.756], [0.000, 0.245, 0.244], [0.500, 0.761, 0.239], [0.500, 0.239, 0.761], [0.000, 0.000, 0.000], [0.500, 0.000, 0.500], [0.000, 0.500, 0.500], [0.500, 0.500, 0.000]],
  "volume_a3_per_fu": 177.8,
  "formation_energy_uncorrected_ev_per_atom": -1.38,
  "mass_density_g_cm3": 10.24
}